Record 1
ZrMnTl2 | GGA-PBE | relaxed

Unit cell a=5.379 b=5.379 c=3.188 alpha=90.00 beta=90.00 gamma=107.31
Fractional coordinates of all 4 atoms:
Tl (0.500, 0.500, 0.000)
Tl (0.000, 0.000, 0.000)
Mn (0.000, 0.500, 0.500)
Zr (0.500, 0.000, 0.500)

offset from the most stable computed form: 67 meV/atom
density of states at the Fermi level: 0.88 states/eV per atom

Record 2
Zr2MnTl2 | GGA-PBE | relaxed

Unit cell a=3.872 b=3.872 c=8.401 alpha=76.68 beta=76.68 gamma=90.00
Fractional coordinates of all 5 atoms:
Zr (0.587, 0.587, 0.825)
Zr (0.413, 0.413, 0.175)
Tl (0.750, 0.250, 0.500)
Tl (0.250, 0.750, 0.500)
Mn (0.000, 0.000, 0.000)

offset from the most stable computed form: 540 meV/atom
density of states at the Fermi level: 1.28 states/eV per atom

Record 3
ZrMnTl | GGA-PBE | relaxed

Unit cell a=4.722 b=4.722 c=3.180 alpha=90.00 beta=90.00 gamma=120.00
Fractional coordinates of all 3 atoms:
Mn (0.000, 0.000, 0.167)
Zr (0.333, 0.667, 0.666)
Tl (0.667, 0.333, 0.166)

density of states at the Fermi level: 1.17 states/eV per atom

Record 4
Zr2MnTl | GGA-PBE | relaxed

Unit cell a=4.870 b=4.870 c=4.870 alpha=60.00 beta=60.00 gamma=60.00
Fractional coordinates of all 4 atoms:
Tl (0.750, 0.750, 0.750)
Zr (0.000, 0.000, 0.000)
Zr (0.250, 0.250, 0.250)
Mn (0.500, 0.500, 0.500)

density of states at the Fermi level: 0.30 states/eV per atom

Record 5
Zr2MnTl | GGA-PBE | relaxed

Unit cell a=3.284 b=3.284 c=9.045 alpha=78.92 beta=78.92 gamma=60.56
Fractional coordinates of all 4 atoms:
Mn (0.750, 0.750, 0.750)
Zr (0.483, 0.483, 0.546)
Zr (0.017, 0.017, 0.954)
Tl (0.250, 0.250, 0.250)

density of states at the Fermi level: 0.59 states/eV per atom

Record 6
ZrMnTl2 | GGA-PBE | relaxed

Unit cell a=7.801 b=7.801 c=6.292 alpha=51.69 beta=51.69 gamma=90.00
Fractional coordinates of all 8 atoms:
Tl (0.151, 0.625, 0.250)
Tl (0.599, 0.125, 0.250)
Tl (0.375, 0.401, 0.750)
Tl (0.875, 0.849, 0.750)
Zr (0.000, 0.000, 0.000)
Zr (0.750, 0.250, 0.500)
Mn (0.250, 0.750, 0.500)
Mn (0.500, 0.500, 0.000)

offset from the most stable computed form: 220 meV/atom
density of states at the Fermi level: 0.75 states/eV per atom

Record 7
ZrMn2Tl | GGA-PBE | relaxed

Unit cell a=3.285 b=3.286 c=7.527 alpha=64.04 beta=90.00 gamma=90.00
Fractional coordinates of all 4 atoms:
Zr (0.500, 0.702, 0.798)
Mn (0.500, 0.284, 0.216)
Mn (0.000, 0.981, 0.019)
Tl (0.000, 0.533, 0.467)

offset from the most stable computed form: 46 meV/atom
density of states at the Fermi level: 1.10 states/eV per atom

Record 8
ZrMnTl2 | GGA-PBE | relaxed

Unit cell a=5.311 b=5.311 c=5.311 alpha=129.95 beta=129.95 gamma=73.49
Fractional coordinates of all 4 atoms:
Tl (0.000, 0.000, 0.000)
Tl (0.500, 0.500, 0.000)
Zr (0.250, 0.750, 0.500)
Mn (0.750, 0.250, 0.500)

offset from the most stable computed form: 97 meV/atom
density of states at the Fermi level: 0.76 states/eV per atom

no.,density (g cm⁻³),energy of formation (eV/atom)
1,10.46,0.25
2,9.01,0.88
3,9.48,0.21
4,8.98,0.21
5,8.86,0.11
6,10.00,0.40
7,9.22,0.25
8,10.72,0.28